Entry from the Alexandria database: Cs2RuSe after structural relaxation (PBE).

abc: 8.557 8.557 8.557
angles: 90.00 90.00 90.00
Space group Fm-3m (No. 225)
Unique sites:
Cs 0.250 0.250 0.250 (multiplicity 8)
Ru 0.000 0.000 0.000 (multiplicity 4)
Se 0.000 0.000 0.500 (multiplicity 4)

Values from the calculation:
total DFT energy (no corrections) = -2.89 eV per atom
E_form (uncorrected) = 0.73 eV/atom
energy relative to the lowest polymorph listed for this composition = 706 meV per atom
density of states at the Fermi level = 12.113 states/eV/f.u.